A relaxed structure of KAlZnHg2, computed with PBE.

Cell lengths 5.363, 5.363, 5.093 Å; angles 90.00, 90.00, 90.00 degrees
Space group P4/mmm (No. 123)
Unique sites:
K1 0.000 0.000 0.000 [1 per cell]
Al1 0.500 0.500 0.500 [1 per cell]
Zn1 0.500 0.500 0.000 [1 per cell]
Hg1 0.000 0.500 0.500 [2 per cell]

Output
E_form = -0.0055 eV/atom